The following is a GGA-PBE calculation of an optimized crystal structure of DyPuRuPb, from Alexandria.

Output
* ΔE_f: -0.293 eV per atom
* ΔE to the lowest computed polymorph: 0 meV/atom

abc: 3.337 3.337 8.656
angles: 90.00 90.00 90.00
Each line ends with the local moment (μB).
Sites, in units of the cell vectors:
Dy: 0.500 0.500 0.771  0.07
Pu: 0.500 0.500 0.373  5.17
Ru: 0.000 0.000 0.570  -0.47
Pb: 0.000 0.000 0.070  -0.05



The following is a GGA-PBE calculation of an optimized crystal structure of DyPuRuPb, from Alexandria.

Output
* ΔE_f: -0.041 eV per atom
* ΔE to the lowest computed polymorph: 252 meV/atom

abc: 5.128 5.128 5.128
angles: 60.00 60.00 60.00
Each line ends with the local moment (μB).
Sites, in units of the cell vectors:
Pb: 0.750 0.750 0.750  -0.03
Ru: 0.250 0.250 0.250  -0.56
Dy: 0.500 0.500 0.500  0.09
Pu: 0.000 0.000 0.000  5.25



The following is a GGA-PBE calculation of an optimized crystal structure of Dy4PuPbS8, from Alexandria.

abc: 8.139 8.139 8.235
angles: 60.38 60.38 60.00
Each line ends with the local moment (μB).
Sites, in units of the cell vectors:
Dy: 0.625 0.625 0.125  0.07
Dy: 0.002 0.495 0.501  0.07
Dy: 0.495 0.002 0.501  0.07
Dy: 0.002 0.002 0.501  0.07
Pu: 0.001 0.001 0.997  5.37
Pb: 0.375 0.375 0.874  0.03
S: 0.241 0.790 0.728  -0.02
S: 0.790 0.241 0.728  -0.02
S: 0.241 0.241 0.728  -0.02
S: 0.235 0.235 0.294  0.00
S: 0.753 0.229 0.264  -0.02
S: 0.229 0.753 0.264  -0.02
S: 0.753 0.753 0.264  -0.02
S: 0.757 0.757 0.728  0.00



The following is a GGA-PBE calculation of an optimized crystal structure of RbDyPbSe3, from Alexandria.

abc: 4.204 8.310 12.575
angles: 111.17 90.00 90.00
Sites, in units of the cell vectors:
Rb: 0.250 0.087 0.166
Rb: 0.750 0.913 0.834
Dy: 0.250 0.583 0.152
Dy: 0.750 0.417 0.848
Pb: 0.250 0.270 0.548
Pb: 0.750 0.730 0.452
Se: 0.750 0.831 0.256
Se: 0.250 0.169 0.744
Se: 0.250 0.495 0.356
Se: 0.750 0.505 0.644
Se: 0.750 0.333 0.052
Se: 0.250 0.667 0.948



The following is a GGA-PBE calculation of an optimized crystal structure of DyRhPb, from Alexandria.

Output
* ΔE_f: -0.644 eV per atom

abc: 3.723 7.976 13.683
angles: 90.00 90.00 90.00
Sites, in units of the cell vectors:
Dy: 0.000 0.205 0.951
Dy: 0.000 0.795 0.049
Dy: 0.000 0.205 0.549
Dy: 0.000 0.795 0.451
Dy: 0.000 0.163 0.250
Dy: 0.000 0.837 0.750
Rh: 0.500 0.072 0.098
Rh: 0.500 0.928 0.902
Rh: 0.500 0.072 0.402
Rh: 0.500 0.928 0.598
Rh: 0.000 0.560 0.250
Rh: 0.000 0.440 0.750
Pb: 0.500 0.431 0.113
Pb: 0.500 0.569 0.887
Pb: 0.500 0.431 0.387
Pb: 0.500 0.569 0.613
Pb: 0.500 0.822 0.250
Pb: 0.500 0.178 0.750



The following is a GGA-PBE calculation of an optimized crystal structure of DyRhPb, from Alexandria.

Output
* ΔE_f: -0.454 eV per atom

abc: 3.405 3.405 6.306
angles: 105.66 105.66 90.00
Sites, in units of the cell vectors:
Pb: 0.304 0.304 0.608
Rh: 0.953 0.953 0.905
Dy: 0.593 0.593 0.187



The calculation returns the following volume values, one per record and in order: 24.10; 23.83; 27.71; 34.13; 22.57; 22.53 Å³ per atom.
The calculation returns the following total moment values, one per record and in order: 4.905; 5.027; 5.991; 0.000; 0.000; 0.000 μB per formula unit.
The calculation returns the following calculated total energy values, one per record and in order: -33.09; -32.08; -93.40; -55.10; -105.56; -17.02 eV per cell.